Entry 1:
CsSiRhN2 | GGA-PBE | relaxed

Geometry as POSCAR:
```
CsSiRhN2
1.0
4.097 0.000 0.000
0.000 4.097 0.000
0.000 0.000 6.059
Cs Si Rh N
1 1 1 2
Cartesian
0.000 0.000 0.000 Cs
0.000 0.000 3.030 Si
2.048 2.048 3.030 Rh
0.000 2.048 0.000 N
2.048 0.000 0.000 N
```

The symmetry is No. 123. Its raw formation energy is 2.96 eV per atom.



Entry 2:
CsTeRhN2 | GGA-PBE | relaxed

Geometry as POSCAR:
```
CsTeRhN2
1.0
4.317 0.000 0.000
0.000 4.317 0.000
0.000 0.000 7.685
Cs Te Rh N
1 1 1 2
Cartesian
0.000 0.000 0.000 Cs
0.000 0.000 3.843 Te
2.158 2.158 3.843 Rh
0.000 2.158 0.000 N
2.158 0.000 0.000 N
```

The symmetry is No. 123. Its raw formation energy is 2.56 eV per atom.



Entry 3:
Cs3RuN | GGA-PBE | relaxed

Geometry as POSCAR:
```
Cs3RuN
1.0
5.820 0.000 0.000
0.000 5.820 0.000
0.000 0.000 5.820
Cs Ru N
3 1 1
Cartesian
0.000 0.000 2.910 Cs
0.000 2.910 0.000 Cs
2.910 0.000 0.000 Cs
0.000 0.000 0.000 Ru
2.910 2.910 2.910 N
```

The symmetry is No. 221. Its raw formation energy is 1.48 eV per atom.



Entry 4:
CsRu3N | GGA-PBE | relaxed

Geometry as POSCAR:
```
CsRu3N
1.0
5.008 0.000 0.000
0.000 5.008 0.000
0.000 0.000 5.008
Cs Ru N
1 3 1
Cartesian
0.000 0.000 0.000 Cs
0.000 0.000 2.504 Ru
0.000 2.504 0.000 Ru
2.504 0.000 0.000 Ru
2.504 2.504 2.504 N
```

The symmetry is No. 221. Its raw formation energy is 3.89 eV per atom.



Entry 5:
CsRu3N | GGA-PBE | relaxed

Geometry as POSCAR:
```
CsRu3N
1.0
4.285 0.000 0.000
0.000 4.285 0.000
0.000 0.000 4.285
Cs Ru N
1 3 1
Cartesian
0.000 0.000 0.000 Cs
0.000 2.142 2.142 Ru
2.142 0.000 2.142 Ru
2.142 2.142 0.000 Ru
2.142 2.142 2.142 N
```

The symmetry is No. 221. Its raw formation energy is 1.30 eV per atom.



Entry 6:
CsRuS2N | GGA-PBE | relaxed

Geometry as POSCAR:
```
CsRuS2N
1.0
5.149 0.000 0.000
0.000 5.149 0.000
0.000 0.000 3.776
Cs Ru S N
1 1 2 1
Cartesian
0.000 0.000 0.000 Cs
2.575 2.575 1.888 Ru
0.000 2.575 1.888 S
2.575 0.000 1.888 S
2.575 2.575 0.000 N
```

The symmetry is No. 123. Its raw formation energy is 0.21 eV per atom.



no.,density of states at the Fermi level (states/eV/cell),VASP energy (eV per atom)
1,4.1,-3.096
2,5.2,-3.036
3,12.2,-2.554
4,5.8,-3.511
5,4.5,-6.103
6,5.3,-5.133